#i
# K2ZrNi

Crystalline K2ZrNi at its relaxed geometry (PBE, Alexandria).

Space group: Cmmm (65)
D(E_F) in states/eV/cell: 4.2
Total magnetization in μB per cell: 0.22

Cell lengths 3.115, 3.115, 12.107 Å; angles 90.00, 90.00, 114.98 degrees
Element x y z (fractional)
Zr: 0.500 0.500 0.750
Ni: 0.500 0.500 0.250
K: 0.000 0.000 0.460
K: 0.000 0.000 0.040



#ii
# K2ZrNi

Crystalline K2ZrNi at its relaxed geometry (PBE, Alexandria).

Space group: I-42d (122)
D(E_F) in states/eV/cell: 9.3
Total magnetization in μB per cell: 0.00

Cell lengths 12.465, 12.465, 9.115 Å; angles 46.86, 46.86, 90.00 degrees
Element x y z (fractional)
Ni: 0.250 0.750 0.500
Zr: 0.750 0.250 0.500
K: 0.875 0.720 0.750
K: 0.280 0.625 0.250
Ni: 0.500 0.500 0.000
K: 0.470 0.125 0.250
K: 0.375 0.530 0.750
Zr: 0.000 0.000 0.000



Energy ordering: #ii at the bottom, the next structure 3.4 kJ/mol of atoms above.



#i
# KZrNi2

Crystalline KZrNi2 at its relaxed geometry (PBE, Alexandria).

Space group: I-42d (122)
D(E_F) in states/eV/cell: 7.6
Total magnetization in μB per cell: 0.00

Cell lengths 7.373, 7.373, 6.107 Å; angles 52.87, 52.87, 90.00 degrees
Element x y z (fractional)
Ni: 0.875 0.922 0.750
Ni: 0.375 0.328 0.750
Zr: 0.000 0.000 0.000
K: 0.250 0.750 0.500
Ni: 0.672 0.125 0.250
Ni: 0.078 0.625 0.250
K: 0.500 0.500 0.000
Zr: 0.750 0.250 0.500



#ii
# KZrNi2

Crystalline KZrNi2 at its relaxed geometry (PBE, Alexandria).

Space group: F-43m (216)
D(E_F) in states/eV/cell: 4.6
Total magnetization in μB per cell: 0.00

Cell lengths 4.593, 4.593, 4.593 Å; angles 60.00, 60.00, 60.00 degrees
Element x y z (fractional)
Ni: 0.000 0.000 0.000
Zr: 0.750 0.750 0.750
K: 0.500 0.500 0.500
Ni: 0.250 0.250 0.250



#iii
# KZrNi2

Crystalline KZrNi2 at its relaxed geometry (PBE, Alexandria).

Space group: Cm (8)
D(E_F) in states/eV/cell: 3.1
Total magnetization in μB per cell: 0.00

Cell lengths 4.535, 4.535, 8.143 Å; angles 65.41, 65.41, 39.31 degrees
Element x y z (fractional)
Ni: 0.772 0.772 0.617
Zr: 0.432 0.432 0.749
Ni: 0.090 0.090 0.881
K: 0.206 0.206 0.253



Energy ordering: #iii at the bottom, the next structure 37.0 kJ/mol of atoms above.